1.
A geometry-optimized KTeN2 structure. Source: Alexandria, functional PBE. Values from VASP.

Calculated values
Formation energy without anion corrections, meV/atom: 1097

The structure in Quantum ESPRESSO input format:
```
&SYSTEM
  ibrav = 0, nat = 4, ntyp = 3
/
ATOMIC_SPECIES
K 39.10 K.upf
Te 127.60 Te.upf
N 14.01 N.upf
CELL_PARAMETERS angstrom
2.1746 1.2555 6.8442
-2.1746 1.2555 6.8442
0.0000 -2.5110 6.8442
ATOMIC_POSITIONS crystal
K 0.0000 0.0000 0.0000
Te 0.5000 0.5000 0.5000
N 0.4067 0.4067 0.4067
N 0.5933 0.5933 0.5933
```



2.
A geometry-optimized ErZn12Pd6 structure. Source: Alexandria, functional PBE. Values from VASP.

Calculated values
Energy relative to the elements, eV per atom: -0.30

The structure in Quantum ESPRESSO input format:
```
&SYSTEM
  ibrav = 0, nat = 19, ntyp = 3
/
ATOMIC_SPECIES
Er 167.26 Er.upf
Zn 65.41 Zn.upf
Pd 106.42 Pd.upf
CELL_PARAMETERS angstrom
5.7073 3.2951 2.8271
-5.7073 3.2951 2.8271
0.0000 -6.5902 2.8271
ATOMIC_POSITIONS crystal
Er 0.0000 0.0000 0.0000
Zn 0.1106 0.5000 0.8894
Zn 0.1106 0.8894 0.5000
Zn 0.1361 0.3819 0.3819
Zn 0.3819 0.1361 0.3819
Zn 0.3819 0.3819 0.1361
Zn 0.5000 0.1106 0.8894
Zn 0.5000 0.8894 0.1106
Zn 0.6181 0.6181 0.8639
Zn 0.6181 0.8639 0.6181
Zn 0.8639 0.6181 0.6181
Zn 0.8894 0.1106 0.5000
Zn 0.8894 0.5000 0.1106
Pd 0.2857 0.2857 0.7103
Pd 0.2857 0.7103 0.2857
Pd 0.2897 0.7143 0.7143
Pd 0.7103 0.2857 0.2857
Pd 0.7143 0.2897 0.7143
Pd 0.7143 0.7143 0.2897
```



3.
A geometry-optimized KHgIr structure. Source: Alexandria, functional PBE. Values from VASP.

Calculated values
Energy relative to the elements, eV per atom: 0.50

The structure in Quantum ESPRESSO input format:
```
&SYSTEM
  ibrav = 0, nat = 3, ntyp = 3
/
ATOMIC_SPECIES
K 39.10 K.upf
Hg 200.59 Hg.upf
Ir 192.22 Ir.upf
CELL_PARAMETERS angstrom
-1.8575 1.8575 5.8807
1.8575 -1.8575 5.8807
1.8575 1.8575 -5.8807
ATOMIC_POSITIONS crystal
K 0.0000 0.0000 0.0000
Hg 0.2731 0.2731 0.0000
Ir 0.7249 0.7249 0.0000
```



4.
A geometry-optimized SiTe2Cl structure. Source: Alexandria, functional PBE. Values from VASP.

Calculated values
Formation energy without anion corrections, meV/atom: -86

The structure in Quantum ESPRESSO input format:
```
&SYSTEM
  ibrav = 0, nat = 4, ntyp = 3
/
ATOMIC_SPECIES
Si 28.09 Si.upf
Te 127.60 Te.upf
Cl 35.45 Cl.upf
CELL_PARAMETERS angstrom
5.1145 0.0000 0.0000
0.0000 3.9974 0.0000
-1.2509 0.0000 5.7866
ATOMIC_POSITIONS crystal
Si 0.0000 0.0000 0.0000
Te 0.1590 0.5000 0.3398
Te 0.8410 0.5000 0.6602
Cl 0.5000 0.0000 0.0000
```



5.
A geometry-optimized TiCr3Ga structure. Source: Alexandria, functional PBE. Values from VASP.

Calculated values
Energy relative to the elements, eV per atom: 1.40

The structure in Quantum ESPRESSO input format:
```
&SYSTEM
  ibrav = 0, nat = 5, ntyp = 3
/
ATOMIC_SPECIES
Ti 47.87 Ti.upf
Cr 52.00 Cr.upf
Ga 69.72 Ga.upf
CELL_PARAMETERS angstrom
4.2920 0.0000 0.0000
0.0000 4.2920 0.0000
0.0000 0.0000 4.2920
ATOMIC_POSITIONS crystal
Ti 0.0000 0.0000 0.0000
Cr 0.0000 0.0000 0.5000
Cr 0.0000 0.5000 0.0000
Cr 0.5000 0.0000 0.0000
Ga 0.5000 0.5000 0.5000
```



6.
A geometry-optimized RhPb2Se structure. Source: Alexandria, functional PBE. Values from VASP.

Calculated values
Formation energy without anion corrections, meV/atom: -82

The structure in Quantum ESPRESSO input format:
```
&SYSTEM
  ibrav = 0, nat = 4, ntyp = 3
/
ATOMIC_SPECIES
Rh 102.91 Rh.upf
Pb 207.20 Pb.upf
Se 78.96 Se.upf
CELL_PARAMETERS angstrom
3.3813 0.0000 0.0000
0.0000 3.3813 0.0000
0.0000 0.0000 8.2450
ATOMIC_POSITIONS crystal
Rh 0.0000 0.0000 0.0000
Pb 0.0000 0.0000 0.4100
Pb 0.5000 0.5000 0.7475
Se 0.5000 0.5000 0.1221
```



7.
A geometry-optimized KUF5 structure. Source: Alexandria, functional PBE. Values from VASP.

Calculated values
Formation energy without anion corrections, meV/atom: -3430

The structure in Quantum ESPRESSO input format:
```
&SYSTEM
  ibrav = 0, nat = 7, ntyp = 3
/
ATOMIC_SPECIES
K 39.10 K.upf
U 238.03 U.upf
F 19.00 F.upf
CELL_PARAMETERS angstrom
-3.8171 4.7335 2.2850
3.8171 -4.7335 2.2850
3.8171 4.7335 -2.2850
ATOMIC_POSITIONS crystal
K 0.0000 0.0000 0.0000
U 0.4996 0.9996 0.5000
F 0.9996 0.4996 0.5000
F 0.2742 0.9989 0.2753
F 0.4998 0.2825 0.7827
F 0.4998 0.7171 0.2173
F 0.7236 0.9989 0.7247
```



8.
A geometry-optimized VTe6Pt2 structure. Source: Alexandria, functional PBE. Values from VASP.

Calculated values
Formation energy without anion corrections, meV/atom: -313

The structure in Quantum ESPRESSO input format:
```
&SYSTEM
  ibrav = 0, nat = 9, ntyp = 3
/
ATOMIC_SPECIES
V 50.94 V.upf
Te 127.60 Te.upf
Pt 195.08 Pt.upf
CELL_PARAMETERS angstrom
6.3499 -1.9561 0.0000
6.3499 1.9561 0.0000
-4.7802 0.0000 10.2176
ATOMIC_POSITIONS crystal
V 0.0000 0.0000 0.0000
Te 0.0029 0.0029 0.2444
Te 0.3257 0.3257 0.4242
Te 0.3308 0.3308 0.9078
Te 0.6692 0.6692 0.0922
Te 0.6743 0.6743 0.5758
Te 0.9971 0.9971 0.7556
Pt 0.3334 0.3334 0.6671
Pt 0.6666 0.6666 0.3329
```



no.,V (Å³/f.u.)
1,112.1
2,319.0
3,81.2
4,118.3
5,79.1
6,94.3
7,165.1
8,253.8